Ho2Au2O5 GGA-PBE optimized geometry; energy relative to the lowest polymorph listed for this composition = 240 meV per atom; size of the total moment = 0.001 μB/f.u.; E = -5.74 eV/atom
1.0
-0.888 6.807 -1.006
-0.797 0.496 4.059
4.054 0.635 0.719
Au Ho O
2 2 5
direct
0.191 0.500 0.500 Au
0.809 0.500 0.500 Au
0.000 0.000 0.000 Ho
0.500 0.000 0.000 Ho
0.225 0.500 0.000 O
0.775 0.500 0.000 O
0.225 0.000 0.500 O
0.775 0.000 0.500 O
0.500 0.500 0.500 O